A plane-wave DFT calculation with PBE+U was carried out for a geometry-optimized GaWO3 structure.

Properties
Density in kg/m³: 9221
Total DFT energy (no corrections) in eV/cell: -28.7

abc: 3.787 3.787 3.787
angles: 90.00 90.00 90.00
Sites, in units of the cell vectors:
Ga1 0.000 0.000 0.000
W1 0.500 0.500 0.500
O1 0.000 0.000 0.500
O2 0.000 0.500 0.000
O3 0.500 0.000 0.000